#one
DFT (PBE) results for a geometry-optimized ScSi3Cl structure.

a b c (Å): 4.662 4.662 4.662
angles (deg): 90.00 90.00 90.00
Space group Pm-3m (No. 221)
Symmetry-distinct sites (fractional):
1 Sc 0.000 0.000 0.000 (multiplicity 1)
2 Si 0.000 0.500 0.500 (multiplicity 3)
3 Cl 0.500 0.500 0.500 (multiplicity 1)

***

#two
DFT (PBE) results for a geometry-optimized ScSi3Cl structure.

a b c (Å): 5.203 5.203 5.203
angles (deg): 90.00 90.00 90.00
Space group Pm-3m (No. 221)
Symmetry-distinct sites (fractional):
1 Sc 0.000 0.000 0.000 (multiplicity 1)
2 Si 0.000 0.000 0.500 (multiplicity 3)
3 Cl 0.500 0.500 0.500 (multiplicity 1)

***

The computed energies, referenced to the most stable structure and given in eV/atom, are #one 0.000; #two 0.190.

***

#one
DFT (PBE) results for a geometry-optimized SmScCl6 structure.

a b c (Å): 6.516 12.541 6.505
angles (deg): 90.00 106.23 90.00
Space group C2/m (No. 12)
Symmetry-distinct sites (fractional):
1 Sm 0.000 0.000 0.000 (multiplicity 2)
2 Sc 0.000 0.500 0.500 (multiplicity 2)
3 Cl 0.231 0.361 0.733 (multiplicity 8)
4 Cl 0.242 0.500 0.260 (multiplicity 4)

***

#two
DFT (PBE) results for a geometry-optimized SmScCl6 structure.

a b c (Å): 6.6293 6.6293 18.0112
angles (deg): 90.00 90.00 120.00
Space group R-3 (No. 148, hexagonal axes)
Symmetry-distinct sites (fractional):
1 Sm 0.0000 0.0000 0.0000 (multiplicity 3)
2 Sc 0.0000 0.0000 0.5000 (multiplicity 3)
3 Cl 0.0125 0.6962 0.5799 (multiplicity 18)

***

The computed energies, referenced to the most stable structure and given in eV/atom, are #one 0.000; #two 0.010.

***

#one
DFT (PBE) results for a geometry-optimized SrSc3Cl structure.

a b c (Å): 5.111 5.111 5.111
angles (deg): 90.00 90.00 90.00
Space group Pm-3m (No. 221)
Symmetry-distinct sites (fractional):
1 Sr 0.000 0.000 0.000 (multiplicity 1)
2 Sc 0.000 0.500 0.500 (multiplicity 3)
3 Cl 0.500 0.500 0.500 (multiplicity 1)

***

#two
DFT (PBE) results for a geometry-optimized SrSc3Cl structure.

a b c (Å): 5.504 5.504 5.504
angles (deg): 90.00 90.00 90.00
Space group Pm-3m (No. 221)
Symmetry-distinct sites (fractional):
1 Sr 0.000 0.000 0.000 (multiplicity 1)
2 Sc 0.000 0.000 0.500 (multiplicity 3)
3 Cl 0.500 0.500 0.500 (multiplicity 1)

***

The computed energies, referenced to the most stable structure and given in eV/atom, are #one 0.000; #two 1.481.

***

#one
DFT (PBE) results for a geometry-optimized Sr2ScCl structure.

a b c (Å): 8.968 8.968 7.876
angles (deg): 90.00 90.00 90.00
Space group I-42d (No. 122)
Symmetry-distinct sites (fractional):
1 Sr 0.178 0.250 0.125 (multiplicity 8)
2 Sc 0.000 0.000 0.500 (multiplicity 4)
3 Cl 0.000 0.000 0.000 (multiplicity 4)

***

#two
DFT (PBE) results for a geometry-optimized Sr2ScCl structure.

a b c (Å): 3.964 6.491 10.738
angles (deg): 90.00 90.00 90.00
Space group Cmm2 (No. 35)
Symmetry-distinct sites (fractional):
1 Sr 0.000 0.000 0.000 (multiplicity 2)
2 Sr 0.000 0.500 0.328 (multiplicity 2)
3 Sc 0.000 0.000 0.594 (multiplicity 2)
4 Cl 0.000 0.500 0.778 (multiplicity 2)

***

The computed energies, referenced to the most stable structure and given in eV/atom, are #one 0.119; #two 0.000.

***

#one
DFT (PBE) results for a geometry-optimized Sr2ScCl structure.

a b c (Å): 8.511 8.511 8.511
angles (deg): 90.00 90.00 90.00
Space group F-43m (No. 216)
Symmetry-distinct sites (fractional):
1 Sr 0.000 0.000 0.000 (multiplicity 4)
2 Sr 0.250 0.250 0.250 (multiplicity 4)
3 Sc 0.000 0.000 0.500 (multiplicity 4)
4 Cl 0.250 0.250 0.750 (multiplicity 4)

***

#two
DFT (PBE) results for a geometry-optimized Sr2ScCl structure.

a b c (Å): 6.811 3.925 10.438
angles (deg): 90.00 102.53 90.00
Space group C2/m (No. 12)
Symmetry-distinct sites (fractional):
1 Sr 0.239 0.000 0.220 (multiplicity 4)
2 Sc 0.000 0.000 0.500 (multiplicity 2)
3 Cl 0.000 0.500 0.000 (multiplicity 2)

***

The computed energies, referenced to the most stable structure and given in eV/atom, are #one 0.764; #two 0.000.

***

#one
DFT (PBE) results for a geometry-optimized Sr2ScCl structure.

a b c (Å): 8.527 8.527 8.527
angles (deg): 90.00 90.00 90.00
Space group Fm-3m (No. 225)
Symmetry-distinct sites (fractional):
1 Sr 0.250 0.250 0.250 (multiplicity 8)
2 Sc 0.000 0.000 0.000 (multiplicity 4)
3 Cl 0.000 0.000 0.500 (multiplicity 4)

***

#two
DFT (PBE) results for a geometry-optimized Sr2ScCl structure.

a b c (Å): 3.751 3.751 11.626
angles (deg): 90.00 90.00 90.00
Space group P4mm (No. 99)
Symmetry-distinct sites (fractional):
1 Sr 0.000 0.000 0.000 (multiplicity 1)
2 Sr 0.500 0.500 0.305 (multiplicity 1)
3 Sc 0.500 0.500 0.781 (multiplicity 1)
4 Cl 0.000 0.000 0.430 (multiplicity 1)

***

The computed energies, referenced to the most stable structure and given in eV/atom, are #one 0.364; #two 0.000.